VASP calculation (PBE) on a relaxed structure of CaTlSn2Pb.

CIF file:
```
data_CaTlSn2Pb
_chemical_formula_sum 'Ca1 Tl1 Sn2 Pb1'
_cell_length_a 5.7270
_cell_length_b 5.8431
_cell_length_c 5.7270
_cell_angle_alpha 90.00
_cell_angle_beta 90.00
_cell_angle_gamma 90.00
_symmetry_space_group_name_H-M 'P 1'
_symmetry_Int_Tables_number 1
loop_
_symmetry_equiv_pos_as_xyz
'x,y,z'
loop_
_atom_site_label
_atom_site_type_symbol
_atom_site_fract_x
_atom_site_fract_y
_atom_site_fract_z
_atom_site_occupancy
Pb1 Pb 0.0000 0.5000 0.0000 1
Tl1 Tl 0.0000 0.0000 0.0000 1
Ca1 Ca 0.5000 0.5000 0.5000 1
Sn1 Sn 0.0000 0.0000 0.5000 1
Sn2 Sn 0.5000 0.0000 0.0000 1
```

ΔE_f = 0.36 eV per atom
Size of the total moment = 0.00 μB per atom



VASP calculation (PBE) on a relaxed structure of GePd3I.

CIF file:
```
data_GePd3I
_chemical_formula_sum 'Ge1 Pd3 I1'
_cell_length_a 4.9959
_cell_length_b 4.9959
_cell_length_c 4.9959
_cell_angle_alpha 90.00
_cell_angle_beta 90.00
_cell_angle_gamma 90.00
_symmetry_space_group_name_H-M 'P 1'
_symmetry_Int_Tables_number 1
loop_
_symmetry_equiv_pos_as_xyz
'x,y,z'
loop_
_atom_site_label
_atom_site_type_symbol
_atom_site_fract_x
_atom_site_fract_y
_atom_site_fract_z
_atom_site_occupancy
I1 I 0.0000 0.0000 0.0000 1
Ge1 Ge 0.5000 0.5000 0.5000 1
Pd1 Pd 0.0000 0.5000 0.0000 1
Pd2 Pd 0.0000 0.0000 0.5000 1
Pd3 Pd 0.5000 0.0000 0.0000 1
```

Energy above the lowest structure with this stoichiometry = 510 meV/atom
Formation energy without anion corrections = 0.686 eV/atom
Size of the total moment = 0.00 μB per atom



VASP calculation (PBE) on a relaxed structure of Li4AgAu5.

CIF file:
```
data_Li4AgAu5
_chemical_formula_sum 'Li4 Ag1 Au5'
_cell_length_a 3.1803
_cell_length_b 3.1803
_cell_length_c 15.6709
_cell_angle_alpha 90.00
_cell_angle_beta 90.00
_cell_angle_gamma 90.00
_symmetry_space_group_name_H-M 'P 1'
_symmetry_Int_Tables_number 1
loop_
_symmetry_equiv_pos_as_xyz
'x,y,z'
loop_
_atom_site_label
_atom_site_type_symbol
_atom_site_fract_x
_atom_site_fract_y
_atom_site_fract_z
_atom_site_occupancy
Li1 Li 0.0000 0.0000 0.2105 1
Li2 Li 0.0000 0.0000 0.4036 1
Li3 Li 0.0000 0.0000 0.5964 1
Li4 Li 0.0000 0.0000 0.7895 1
Ag1 Ag 0.0000 0.0000 0.0000 1
Au1 Au 0.5000 0.5000 0.1177 1
Au2 Au 0.5000 0.5000 0.3082 1
Au3 Au 0.5000 0.5000 0.5000 1
Au4 Au 0.5000 0.5000 0.6918 1
Au5 Au 0.5000 0.5000 0.8823 1
```

ΔE_f = -0.44 eV per atom
Size of the total moment = 0.00 μB per atom



VASP calculation (PBE) on a relaxed structure of GdLuAlGa.

CIF file:
```
data_GdLuAlGa
_chemical_formula_sum 'Gd1 Lu1 Al1 Ga1'
_cell_length_a 5.0503
_cell_length_b 5.0503
_cell_length_c 5.0503
_cell_angle_alpha 60.00
_cell_angle_beta 60.00
_cell_angle_gamma 60.00
_symmetry_space_group_name_H-M 'P 1'
_symmetry_Int_Tables_number 1
loop_
_symmetry_equiv_pos_as_xyz
'x,y,z'
loop_
_atom_site_label
_atom_site_type_symbol
_atom_site_fract_x
_atom_site_fract_y
_atom_site_fract_z
_atom_site_occupancy
Gd1 Gd 0.5000 0.5000 0.5000 1
Lu1 Lu 0.0000 0.0000 0.0000 1
Al1 Al 0.7500 0.7500 0.7500 1
Ga1 Ga 0.2500 0.2500 0.2500 1
```

ΔE_f = -0.47 eV per atom
Size of the total moment = 1.78 μB per atom



Look up the size of the total moment of the third one.
0.00 μB per atom



Look up the size of the total moment of the third one.
0.00 μB per atom



Which value of size of the total moment does entry 2 give?
0.00 μB per atom